[1]
CaTb6Pr12 | PBE | relaxed

Output
ΔE_f = 3.4 eV/f.u.

CIF file:
```
data_CaTb6Pr12
_cell_length_a 13.5696
_cell_length_b 13.5696
_cell_length_c 13.0406
_cell_angle_alpha 90.00
_cell_angle_beta 90.00
_cell_angle_gamma 120.00
_space_group_name_H-M_alt 'R -3 m'
_space_group_IT_number 166
_space_group_name_Hall '-R 3 2"'
loop_
_atom_site_label
_atom_site_type_symbol
_atom_site_fract_x
_atom_site_fract_y
_atom_site_fract_z
Ca1 Ca 0.0000 0.0000 0.0000
Tb1 Tb 0.0402 0.5201 0.6169
Pr1 Pr 0.0000 0.2615 0.5000
Pr2 Pr 0.0904 0.1807 0.2665
```

[2]
Be2TlZn | PBE | relaxed

Output
ΔE_f = 2.6 eV/f.u.
Energy above the lowest structure with this stoichiometry = 0.3598 eV/atom

CIF file:
```
data_Be2TlZn
_cell_length_a 5.278
_cell_length_b 6.170
_cell_length_c 3.714
_cell_angle_alpha 90.00
_cell_angle_beta 90.00
_cell_angle_gamma 90.00
_space_group_name_H-M_alt 'C m m m'
_space_group_IT_number 65
_space_group_name_Hall '-C 2 2'
loop_
_atom_site_label
_atom_site_type_symbol
_atom_site_fract_x
_atom_site_fract_y
_atom_site_fract_z
Be1 Be 0.250 0.250 0.000
Tl1 Tl 0.000 0.000 0.500
Zn1 Zn 0.000 0.500 0.500
```